Entry from the Alexandria database: a relaxed structure of RbIn2CoF (PBE+U).

Summary:
Crystal system: tetragonal
DFT total energy, eV/atom: -3.0074
V, Å³/f.u.: 165.7

CIF file:
```
data_RbIn2CoF
_chemical_formula_sum 'Rb1 In2 Co1 F1'
_symmetry_space_group_name_H-M 'P 4/m m m'
_symmetry_Int_Tables_number 123
_symmetry_space_group_name_Hall '-P 4 2'
_cell_length_a 4.872
_cell_length_b 4.872
_cell_length_c 6.982
_cell_angle_alpha 90.00
_cell_angle_beta 90.00
_cell_angle_gamma 90.00
loop_
_atom_site_label
_atom_site_type_symbol
_atom_site_fract_x
_atom_site_fract_y
_atom_site_fract_z
Rb1 Rb 0.000 0.000 0.000
In1 In 0.000 0.500 0.500
Co1 Co 0.000 0.000 0.500
F1 F 0.500 0.500 0.000
```